PmTm9Th2: relaxed, GGA-PBE.

Polymorph energy (0 for the lowest one) = 0.0 meV/atom
Symmetry = No. 123

abc: 4.9697 4.9697 14.9546
angles: 90.00 90.00 90.00
With the nearest neighbours (Å) after each atom.
Atoms (fractional coordinates):
Pm1 0.0000 0.0000 0.0000  12 Tm 3.51-3.55
Tm1 0.5000 0.5000 0.0000  4 Pm 3.51, 8 Tm 3.55
Tm2 0.5000 0.5000 0.3337  8 Tm 3.50-3.52, 4 Th 3.51
Tm3 0.5000 0.5000 0.6663  8 Tm 3.50-3.52, 4 Th 3.51
Tm4 0.5000 0.0000 0.1693  8 Tm 3.50-3.55, 2 Th 3.50, 2 Pm 3.55
Tm5 0.5000 0.0000 0.5000  4 Th 3.51, 8 Tm 3.51-3.52
Tm6 0.5000 0.0000 0.8307  8 Tm 3.50-3.55, 2 Th 3.50, 2 Pm 3.55
Tm7 0.0000 0.5000 0.1693  8 Tm 3.50-3.55, 2 Th 3.50, 2 Pm 3.55
Tm8 0.0000 0.5000 0.5000  4 Th 3.51, 8 Tm 3.51-3.52
Tm9 0.0000 0.5000 0.8307  8 Tm 3.50-3.55, 2 Th 3.50, 2 Pm 3.55
Th1 0.0000 0.0000 0.3343  12 Tm 3.50-3.51
Th2 0.0000 0.0000 0.6657  12 Tm 3.50-3.51

***

PmTm2Th2: relaxed, GGA-PBE.

Polymorph energy (0 for the lowest one) = 15.4 meV/atom
Symmetry = No. 164

abc: 3.5525 3.5525 14.5611
angles: 90.00 90.00 120.00
With the nearest neighbours (Å) after each atom.
Atoms (fractional coordinates):
Pm1 0.0000 0.0000 0.5000  6 Pm 3.55, 6 Tm 3.56
Tm1 0.6667 0.3333 0.6994  6 Tm 3.55, 3 Pm 3.56, 3 Th 3.57
Tm2 0.3333 0.6667 0.3006  6 Tm 3.55, 3 Pm 3.56, 3 Th 3.57
Th1 0.3333 0.6667 0.9003  9 Th 3.55-3.56, 3 Tm 3.57
Th2 0.6667 0.3333 0.0997  9 Th 3.55-3.56, 3 Tm 3.57

***

Pm6Y2TmTh: relaxed, GGA-PBE.

Symmetry = No. 15

abc: 9.4761 8.8985 8.8985
angles: 115.38 92.84 92.84
With the nearest neighbours (Å) after each atom.
Atoms (fractional coordinates):
Pm1 0.0616 0.1133 0.7671  7 Pm 3.51-3.81, 2 Y 3.53-3.88, 2 Th 3.62-3.70
Pm2 0.4384 0.2329 0.8867  7 Pm 3.51-3.81, 2 Y 3.53-3.88, 2 Th 3.62-3.70
Pm3 0.9384 0.8867 0.2329  7 Pm 3.51-3.81, 2 Y 3.53-3.88, 2 Th 3.62-3.70
Pm4 0.5616 0.7671 0.1133  7 Pm 3.51-3.81, 2 Y 3.53-3.88, 2 Th 3.62-3.70
Pm5 0.3083 0.9949 0.4279  1 Pm 3.28, 1 Th 3.41, 1 Tm 3.44, 1 Y 3.46
Pm6 0.1918 0.5721 0.0051  1 Pm 3.28, 1 Th 3.41, 1 Tm 3.44, 1 Y 3.46
Pm7 0.6918 0.0051 0.5721  1 Pm 3.28, 1 Th 3.41, 1 Tm 3.44, 1 Y 3.46
Pm8 0.8082 0.4279 0.9949  1 Pm 3.28, 1 Th 3.41, 1 Tm 3.44, 1 Y 3.46
Pm9 0.1139 0.7063 0.4771  4 Pm 3.25-3.60, 3 Y 3.33-3.50, 2 Tm 3.46-3.50
Pm10 0.3861 0.5229 0.2937  4 Pm 3.25-3.60, 3 Y 3.33-3.50, 2 Tm 3.46-3.50
Pm11 0.8861 0.2937 0.5229  4 Pm 3.25-3.60, 3 Y 3.33-3.50, 2 Tm 3.46-3.50
Pm12 0.6139 0.4771 0.7063  4 Pm 3.25-3.60, 3 Y 3.33-3.50, 2 Tm 3.46-3.50
Y1 0.4451 0.7947 0.7020  5 Pm 3.33-3.53, 2 Th 3.38-3.58, 1 Tm 3.51
Y2 0.0549 0.2980 0.2053  5 Pm 3.33-3.53, 2 Th 3.38-3.58, 1 Tm 3.51
Y3 0.5549 0.2053 0.2980  5 Pm 3.33-3.53, 2 Th 3.38-3.58, 1 Tm 3.51
Y4 0.9451 0.7020 0.7947  5 Pm 3.33-3.53, 2 Th 3.38-3.58, 1 Tm 3.51
Tm1 0.2500 0.4114 0.5886  6 Pm 3.44-3.50, 2 Y 3.51
Tm2 0.7500 0.5886 0.4114  6 Pm 3.44-3.50, 2 Y 3.51
Th1 0.2500 0.9655 0.0345  4 Y 3.38-3.58, 6 Pm 3.41-3.70
Th2 0.7500 0.0345 0.9655  4 Y 3.38-3.58, 6 Pm 3.41-3.70

***

Pm2Y5TmTh: relaxed, GGA-PBE.

Symmetry = No. 140

abc: 8.7480 8.7480 9.8711
angles: 116.30 116.30 90.00
With the nearest neighbours (Å) after each atom.
Atoms (fractional coordinates):
Pm1 0.1154 0.3846 0.0000  1 Pm 2.86, 2 Y 3.02
Pm2 0.6154 0.1154 0.0000  1 Pm 2.86, 2 Y 3.02
Pm3 0.3846 0.8846 0.0000  1 Pm 2.86, 2 Y 3.02
Pm4 0.8846 0.6154 0.0000  1 Pm 2.86, 2 Y 3.02
Y1 0.9267 0.4267 0.2777  1 Pm 3.02, 1 Tm 3.13
Y2 0.6491 0.1491 0.7223  1 Pm 3.02, 1 Tm 3.13
Y3 0.0733 0.5733 0.7223  1 Pm 3.02, 1 Tm 3.13
Y4 0.1491 0.0733 0.7223  1 Pm 3.02, 1 Tm 3.13
Y5 0.5733 0.6491 0.7223  1 Pm 3.02, 1 Tm 3.13
Y6 0.8509 0.9267 0.2777  1 Pm 3.02, 1 Tm 3.13
Y7 0.4267 0.3509 0.2777  1 Pm 3.02, 1 Tm 3.13
Y8 0.3509 0.8509 0.2777  1 Pm 3.02, 1 Tm 3.13
Y9 0.5000 0.5000 0.0000  4 Pm 3.51, 8 Y 3.79, 2 Th 3.85
Y10 0.0000 0.0000 0.0000  4 Pm 3.51, 8 Y 3.79, 2 Th 3.85
Tm1 0.2500 0.7500 0.5000  4 Y 3.13
Tm2 0.7500 0.2500 0.5000  4 Y 3.13
Th1 0.2500 0.2500 0.5000  10 Y 3.57-3.85
Th2 0.7500 0.7500 0.5000  10 Y 3.57-3.85

***

PmYTmTh2: relaxed, GGA-PBE.

Symmetry = No. 63

abc: 6.6727 6.6700 8.4801
angles: 113.16 90.00 90.00
With the nearest neighbours (Å) after each atom.
Atoms (fractional coordinates):
Pm1 0.2500 0.8477 0.6954  1 Tm 3.07, 4 Th 3.35
Pm2 0.7500 0.1523 0.3046  1 Tm 3.07, 4 Th 3.35
Y1 0.7500 0.7471 0.4942  4 Pm 3.65-3.69, 4 Tm 3.66-3.69
Y2 0.2500 0.2529 0.5058  4 Pm 3.65-3.69, 4 Tm 3.66-3.69
Tm1 0.2500 0.6510 0.3019  1 Pm 3.07, 4 Th 3.33
Tm2 0.7500 0.3490 0.6981  1 Pm 3.07, 4 Th 3.33
Th1 0.5000 0.2520 0.0000  4 Th 3.31-3.36, 2 Tm 3.33, 2 Pm 3.35
Th2 0.0000 0.7480 0.0000  4 Th 3.31-3.36, 2 Tm 3.33, 2 Pm 3.35
Th3 0.5000 0.7480 0.0000  4 Th 3.31-3.36, 2 Tm 3.33, 2 Pm 3.35
Th4 0.0000 0.2520 0.0000  4 Th 3.31-3.36, 2 Tm 3.33, 2 Pm 3.35

***

Pm5YTm2Th: relaxed, GGA-PBE.

Symmetry = No. 63

abc: 5.3895 11.1173 10.5484
angles: 90.00 90.00 104.03
With the nearest neighbours (Å) after each atom.
Atoms (fractional coordinates):
Pm1 0.3757 0.7515 0.0082  1 Th 3.48, 6 Pm 3.76-3.86, 4 Tm 3.79-3.80
Pm2 0.7219 0.4438 0.8143  2 Pm 3.18, 1 Y 3.31, 3 Th 3.39-3.51
Pm3 0.5000 0.0000 0.7582  2 Y 3.43, 4 Tm 3.64, 6 Pm 3.76-3.77
Pm4 0.2782 0.5564 0.7023  2 Pm 3.18, 1 Y 3.31, 3 Th 3.39-3.51
Pm5 0.0025 0.0050 0.5081  2 Y 3.51, 4 Tm 3.58-3.62, 6 Pm 3.76-3.77
Pm6 0.6243 0.2485 0.5082  1 Th 3.48, 6 Pm 3.76-3.86, 4 Tm 3.79-3.80
Pm7 0.2781 0.5562 0.3143  2 Pm 3.18, 1 Y 3.31, 3 Th 3.39-3.51
Pm8 0.5000 0.0000 0.2582  2 Y 3.43, 4 Tm 3.64, 6 Pm 3.76-3.77
Pm9 0.7218 0.4436 0.2023  2 Pm 3.18, 1 Y 3.31, 3 Th 3.39-3.51
Pm10 0.9975 0.9950 0.0081  2 Y 3.51, 4 Tm 3.58-3.62, 6 Pm 3.76-3.77
Y1 0.6015 0.2030 0.0082  6 Pm 3.31-3.51, 2 Th 3.63
Y2 0.3985 0.7970 0.5082  6 Pm 3.31-3.51, 2 Th 3.63
Tm1 0.8867 0.7734 0.7559  1 Th 3.40, 9 Pm 3.58-3.80, 2 Y 3.76
Tm2 0.1134 0.2267 0.7605  1 Th 3.40, 9 Pm 3.58-3.79, 2 Y 3.76
Tm3 0.1133 0.2266 0.2559  1 Th 3.40, 9 Pm 3.58-3.80, 2 Y 3.76
Tm4 0.8866 0.7733 0.2605  1 Th 3.40, 9 Pm 3.58-3.79, 2 Y 3.76
Th1 0.7857 0.5714 0.5083  7 Pm 3.39-3.51, 2 Tm 3.40, 2 Y 3.63
Th2 0.2143 0.4286 0.0083  7 Pm 3.39-3.51, 2 Tm 3.40, 2 Y 3.63

***

Pm2YTmTh: relaxed, GGA-PBE.

Symmetry = No. 13

abc: 6.3476 8.5542 6.3782
angles: 94.74 90.00 90.00
With the nearest neighbours (Å) after each atom.
Atoms (fractional coordinates):
Pm1 0.7035 0.6876 0.7757  1 Th 3.13, 1 Pm 3.20, 1 Tm 3.44, 1 Y 3.48
Pm2 0.7035 0.3124 0.7243  1 Th 3.13, 1 Pm 3.20, 1 Tm 3.44, 1 Y 3.48
Pm3 0.2965 0.6876 0.2757  1 Th 3.13, 1 Pm 3.20, 1 Tm 3.44, 1 Y 3.48
Pm4 0.2965 0.3124 0.2243  1 Th 3.13, 1 Pm 3.20, 1 Tm 3.44, 1 Y 3.48
Y1 0.0000 0.0000 0.0000  2 Y 3.19, 2 Th 3.28, 2 Pm 3.48
Y2 0.0000 0.0000 0.5000  2 Y 3.19, 2 Th 3.28, 2 Pm 3.48
Tm1 0.1840 0.5000 0.7500  8 Pm 3.44-3.67
Tm2 0.8160 0.5000 0.2500  8 Pm 3.44-3.67
Th1 0.5487 0.0000 0.2500  2 Pm 3.13, 2 Th 3.25, 2 Y 3.28
Th2 0.4513 0.0000 0.7500  2 Pm 3.13, 2 Th 3.25, 2 Y 3.28

***

Pm3YTmTh: relaxed, GGA-PBE.

Symmetry = No. 11

abc: 5.0944 8.0510 10.8234
angles: 116.74 90.00 90.00
With the nearest neighbours (Å) after each atom.
Atoms (fractional coordinates):
Pm1 0.7500 0.8669 0.0454  1 Tm 3.51, 3 Th 3.52-3.54, 3 Y 3.60-3.71, 5 Pm 3.61-3.73
Pm2 0.2500 0.1331 0.9546  1 Tm 3.51, 3 Th 3.52-3.54, 3 Y 3.60-3.71, 5 Pm 3.61-3.73
Pm3 0.2500 0.6294 0.4568  3 Tm 3.57-3.58, 1 Th 3.59, 5 Pm 3.59-3.70, 3 Y 3.60-3.65
Pm4 0.7500 0.3706 0.5432  3 Tm 3.57-3.58, 1 Th 3.59, 5 Pm 3.59-3.70, 3 Y 3.60-3.65
Pm5 0.7500 0.3850 0.2065  1 Tm 3.52, 3 Th 3.54, 6 Pm 3.59-3.73, 2 Y 3.69
Pm6 0.2500 0.6150 0.7935  1 Tm 3.52, 3 Th 3.54, 6 Pm 3.59-3.73, 2 Y 3.69
Y1 0.2500 0.1217 0.2932  3 Tm 3.57-3.60, 1 Th 3.58, 8 Pm 3.60-3.71
Y2 0.7500 0.8783 0.7068  3 Tm 3.57-3.60, 1 Th 3.58, 8 Pm 3.60-3.71
Tm1 0.2500 0.1258 0.6274  5 Pm 3.51-3.58, 3 Y 3.57-3.60, 2 Th 3.60, 2 Tm 3.63
Tm2 0.7500 0.8742 0.3726  5 Pm 3.51-3.58, 3 Y 3.57-3.60, 2 Th 3.60, 2 Tm 3.63
Th1 0.2500 0.6232 0.1230  7 Pm 3.52-3.59, 2 Th 3.57, 1 Y 3.58, 2 Tm 3.60
Th2 0.7500 0.3768 0.8770  7 Pm 3.52-3.59, 2 Th 3.57, 1 Y 3.58, 2 Tm 3.60

***

PmY3Tm6Th2: relaxed, GGA-PBE.

Symmetry = No. 12

abc: 6.1477 6.1477 11.6654
angles: 95.05 95.05 119.96
With the nearest neighbours (Å) after each atom.
Atoms (fractional coordinates):
Pm1 0.0000 0.0000 0.0000  6 Tm 3.52, 6 Th 3.55
Y1 0.1664 0.8336 0.5000  6 Tm 3.53-3.56, 6 Y 3.54-3.55
Y2 0.8336 0.1664 0.5000  6 Tm 3.53-3.56, 6 Y 3.54-3.55
Y3 0.5000 0.5000 0.5000  6 Tm 3.53-3.56, 6 Y 3.55
Tm1 0.9170 0.5791 0.7524  2 Th 3.50, 1 Pm 3.52, 6 Tm 3.52-3.60, 3 Y 3.53-3.56
Tm2 0.7449 0.7449 0.2479  2 Th 3.50, 1 Pm 3.52, 6 Tm 3.52-3.60, 3 Y 3.53-3.55
Tm3 0.0830 0.4209 0.2476  2 Th 3.50, 1 Pm 3.52, 6 Tm 3.52-3.60, 3 Y 3.53-3.56
Tm4 0.5791 0.9170 0.7524  2 Th 3.50, 1 Pm 3.52, 6 Tm 3.52-3.60, 3 Y 3.53-3.56
Tm5 0.2551 0.2551 0.7521  2 Th 3.50, 1 Pm 3.52, 6 Tm 3.52-3.60, 3 Y 3.53-3.55
Tm6 0.4209 0.0830 0.2476  2 Th 3.50, 1 Pm 3.52, 6 Tm 3.52-3.60, 3 Y 3.53-3.56
Th1 0.3333 0.6667 0.0000  6 Tm 3.50, 3 Pm 3.55, 3 Th 3.55
Th2 0.6667 0.3333 0.0000  6 Tm 3.50, 3 Pm 3.55, 3 Th 3.55

***

Pm5Y2TmTh: relaxed, GGA-PBE.

Symmetry = No. 36

abc: 5.6282 10.6364 10.6164
angles: 90.00 90.00 105.34
With the nearest neighbours (Å) after each atom.
Atoms (fractional coordinates):
Pm1 0.3861 0.7722 0.0233  6 Pm 3.56-3.90, 4 Y 3.62-3.63, 1 Th 3.79
Pm2 0.7225 0.4451 0.8110  1 Tm 3.07, 1 Y 3.33, 2 Pm 3.36
Pm3 0.4837 0.9674 0.7465  2 Tm 3.27-3.41, 2 Y 3.53, 2 Pm 3.56-3.57
Pm4 0.2922 0.5845 0.7037  2 Pm 3.36, 1 Tm 3.42, 3 Th 3.49-3.75, 3 Y 3.57-3.71
Pm5 0.9857 0.9715 0.5179  2 Tm 3.32, 4 Y 3.47-3.71, 2 Pm 3.72
Pm6 0.6139 0.2278 0.5233  6 Pm 3.56-3.90, 4 Y 3.62-3.63, 1 Th 3.79
Pm7 0.2775 0.5549 0.3110  1 Tm 3.07, 1 Y 3.33, 2 Pm 3.36
Pm8 0.5163 0.0326 0.2465  2 Tm 3.27-3.41, 2 Y 3.53, 2 Pm 3.56-3.57
Pm9 0.7078 0.4155 0.2037  2 Pm 3.36, 1 Tm 3.42, 3 Th 3.49-3.75, 3 Y 3.57-3.71
Pm10 0.0143 0.0285 0.0179  2 Tm 3.32, 4 Y 3.47-3.71, 2 Pm 3.72
Y1 0.8849 0.7697 0.8081  9 Pm 3.33-3.71, 1 Th 3.62
Y2 0.1122 0.2243 0.7383  1 Th 3.42, 7 Pm 3.49-3.71, 2 Tm 3.72
Y3 0.1151 0.2303 0.3081  9 Pm 3.33-3.71, 1 Th 3.62
Y4 0.8878 0.7757 0.2383  1 Th 3.42, 7 Pm 3.49-3.71, 2 Tm 3.72
Tm1 0.5958 0.1916 0.9650  6 Pm 3.07-3.42
Tm2 0.4042 0.8084 0.4650  6 Pm 3.07-3.42
Th1 0.7987 0.5974 0.5101  2 Y 3.42-3.62, 7 Pm 3.49-3.79, 2 Tm 3.58
Th2 0.2013 0.4026 0.0101  2 Y 3.42-3.62, 7 Pm 3.49-3.79, 2 Tm 3.58

***

Number 1: energy of formation 3 kJ per mole of atoms, theoretical density 9.57 g cm⁻³. Number 2: energy of formation 3 kJ per mole of atoms, theoretical density 9.88 g cm⁻³. Number 3: energy of formation 14 kJ per mole of atoms, theoretical density 7.13 g cm⁻³. Number 4: energy of formation 28 kJ per mole of atoms, theoretical density 6.41 g cm⁻³. Number 5: energy of formation 39 kJ per mole of atoms, theoretical density 8.30 g cm⁻³. Number 6: energy of formation 14 kJ per mole of atoms, theoretical density 7.50 g cm⁻³. Number 7: energy of formation 31 kJ per mole of atoms, theoretical density 7.50 g cm⁻³. Number 8: energy of formation 3 kJ per mole of atoms, theoretical density 7.75 g cm⁻³. Number 9: energy of formation 3 kJ per mole of atoms, theoretical density 8.34 g cm⁻³. Number 10: energy of formation 15 kJ per mole of atoms, theoretical density 7.06 g cm⁻³.